(1)
Density functional theory data (PBE) for Mn5Pb3S12 after structural relaxation.

Lattice parameters (Å, degrees): 15.159 15.159 15.159 90.00 90.00 90.00
Space group Ia-3d (No. 230)
One atom of each set of equivalent atoms:
Mn: 0.000 0.000 0.000
Mn: 0.000 0.250 0.375
Pb: 0.000 0.250 0.125
S: 0.033 0.050 0.648

## Properties
Calculated total energy = -5.738 eV per atom
ΔE_f (raw) = -8.25 eV per formula unit
Volume = 21.771 Å³/atom
Magnetic moment = 136.6 Bohr magnetons per cell

(2)
Density functional theory data (PBE) for Ce4AlGa after structural relaxation.

Lattice parameters (Å, degrees): 7.790 8.881 5.097 90.00 130.81 90.00
Space group C2/m (No. 12)
One atom of each set of equivalent atoms:
Ce: 0.250 0.168 0.250
Al: 0.000 0.000 0.500
Ga: 0.000 0.500 0.000

## Properties
Calculated total energy = -5.332 eV per atom
Energy relative to the lowest polymorph listed for this composition = 0.00 eV per formula unit
Volume = 22.243 Å³/atom
Magnetic moment = 0.0 Bohr magnetons per cell
ΔH_f (0 K) = -143 kJ/mol of formula units